(1)
Below is crystalline PaSnSb2 at its relaxed geometry, with properties calculated at the GGA-PBE level.

## Properties
As for the magnetic moment: 0.5 μB/f.u. The formation energy from raw total energies is -0.41 eV per formula unit.

Unit cell a=5.4051 b=6.1558 c=7.8624 alpha=113.05 beta=110.10 gamma=90.00
Fractional positions:
Pa: 0.6703 0.6703 0.3405
Sn: 0.9154 0.9154 0.8309
Pa: 0.7901 0.2901 0.5801
Sb: 0.0350 0.5350 0.0700
Sb: 0.4253 0.4253 0.8507
Sb: 0.2302 0.4802 0.4603
Sb: 0.2302 0.9802 0.4603
Sn: 0.5449 0.0449 0.0898

***

(2)
Below is crystalline PaSnSb at its relaxed geometry, with properties calculated at the GGA-PBE level.

## Properties
As for the magnetic moment: 0.0 μB/f.u. The formation energy from raw total energies is -0.58 eV per formula unit.

Unit cell a=4.6522 b=4.3029 c=9.1187 alpha=90.00 beta=90.00 gamma=90.00
Fractional positions:
Pa: 0.0000 0.5003 0.7500
Sb: 0.0000 0.0000 0.0000
Sb: 0.0000 0.0000 0.5000
Pa: 0.0000 0.4997 0.2500
Sn: 0.5000 0.9996 0.2500
Sn: 0.5000 0.0004 0.7500

***

(3)
Below is crystalline PaSnSb at its relaxed geometry, with properties calculated at the GGA-PBE level.

## Properties
As for the magnetic moment: 0.5 μB/f.u. The formation energy from raw total energies is -0.58 eV per formula unit.

Unit cell a=3.8727 b=3.8727 c=5.8533 alpha=109.32 beta=109.32 gamma=90.00
Fractional positions:
Pa: 0.6720 0.6720 0.3439
Sn: 0.9944 0.9944 0.9888
Sb: 0.3336 0.3336 0.6672

***

(4)
Below is crystalline PaSnSb2 at its relaxed geometry, with properties calculated at the GGA-PBE level.

## Properties
As for the magnetic moment: 0.8 μB/f.u. The formation energy from raw total energies is -0.22 eV per formula unit.

Unit cell a=5.2448 b=5.2448 c=5.5030 alpha=61.54 beta=61.54 gamma=60.00
Fractional positions:
Sn: 0.0000 0.0000 0.0000
Sb: 0.7446 0.7446 0.7662
Sb: 0.2554 0.2554 0.2338
Pa: 0.5000 0.5000 0.5000

***

(5)
Below is crystalline PaSnSb2 at its relaxed geometry, with properties calculated at the GGA-PBE level.

## Properties
As for the magnetic moment: 0.0 μB/f.u. The formation energy from raw total energies is -1.27 eV per formula unit.

Unit cell a=4.0340 b=4.0340 c=6.5157 alpha=90.00 beta=90.00 gamma=90.00
Fractional positions:
Sn: 0.5000 0.5000 0.0000
Sb: 0.0000 0.0000 0.2629
Pa: 0.5000 0.5000 0.5000
Sb: 0.0000 0.0000 0.7371

***

(6)
Below is crystalline PaSnSb at its relaxed geometry, with properties calculated at the GGA-PBE level.

## Properties
As for the magnetic moment: 0.0 μB/f.u. The formation energy from raw total energies is -1.32 eV per formula unit.

Unit cell a=4.3321 b=4.3321 c=9.1932 alpha=103.63 beta=103.63 gamma=90.00
Fractional positions:
Sb: 0.1789 0.1789 0.3578
Pa: 0.6389 0.6389 0.2778
Sn: 0.0000 0.5000 0.0000
Pa: 0.3611 0.3611 0.7222
Sn: 0.5000 0.0000 0.0000
Sb: 0.8211 0.8211 0.6422

***

(7)
Below is crystalline PaSnSb at its relaxed geometry, with properties calculated at the GGA-PBE level.

## Properties
As for the magnetic moment: 0.3 μB/f.u. The formation energy from raw total energies is -0.34 eV per formula unit.

Unit cell a=3.1118 b=5.3478 c=5.3478 alpha=120.00 beta=90.00 gamma=90.00
Fractional positions:
Sb: 0.8320 0.0000 0.0000
Sn: 0.8345 0.3333 0.6667
Pa: 0.3335 0.6667 0.3333

***

(8)
Below is crystalline Pa3SnSb3 at its relaxed geometry, with properties calculated at the GGA-PBE level.

## Properties
As for the magnetic moment: 1.8 μB/f.u. The formation energy from raw total energies is -1.68 eV per formula unit.

Unit cell a=5.6802 b=8.7951 c=8.7951 alpha=120.00 beta=90.00 gamma=90.00
Fractional positions:
Sb: 0.2500 0.9481 0.2199
Sb: 0.2500 0.7801 0.7282
Pa: 0.7500 0.6606 0.5588
Sn: 0.2500 0.6667 0.3333
Pa: 0.2500 0.3394 0.4412
Sb: 0.2500 0.2718 0.0519
Sb: 0.7500 0.0519 0.7801
Pa: 0.7500 0.4412 0.1018
Pa: 0.7500 0.8982 0.3394
Sn: 0.7500 0.3333 0.6667
Sb: 0.7500 0.2199 0.2718
Pa: 0.2500 0.1018 0.6606
Sb: 0.7500 0.7282 0.9481
Pa: 0.2500 0.5588 0.8982

***

(9)
Below is crystalline PaSnSb2 at its relaxed geometry, with properties calculated at the GGA-PBE level.

## Properties
As for the magnetic moment: 0.0 μB/f.u. The formation energy from raw total energies is -1.30 eV per formula unit.

Unit cell a=4.2909 b=4.8749 c=4.8749 alpha=90.00 beta=90.00 gamma=90.00
Fractional positions:
Pa: 0.5000 0.5000 0.5000
Sb: 0.0000 0.5000 0.0000
Sb: 0.0000 0.0000 0.5000
Sn: 0.5000 0.0000 0.0000

***

(10)
Below is crystalline PaSn2Sb at its relaxed geometry, with properties calculated at the GGA-PBE level.

## Properties
As for the magnetic moment: 0.0 μB/f.u. The formation energy from raw total energies is -1.30 eV per formula unit.

Unit cell a=4.9331 b=4.5232 c=4.5232 alpha=90.00 beta=90.00 gamma=90.00
Fractional positions:
Sn: 0.0000 0.5000 0.0000
Sn: 0.0000 0.0000 0.5000
Pa: 0.5000 0.5000 0.5000
Sb: 0.5000 0.0000 0.0000

***

(11)
Below is crystalline PaSn2Sb at its relaxed geometry, with properties calculated at the GGA-PBE level.

## Properties
As for the magnetic moment: 0.0 μB/f.u. The formation energy from raw total energies is -1.27 eV per formula unit.

Unit cell a=4.3877 b=4.3873 c=6.1835 alpha=111.08 beta=110.78 gamma=90.00
Fractional positions:
Sn: 0.7500 0.2498 0.5000
Pa: 0.0000 0.0000 0.0000
Sb: 0.5000 0.5000 0.0000
Sn: 0.2500 0.7502 0.5000

***

(12)
Below is crystalline SrPaSb2 at its relaxed geometry, with properties calculated at the GGA-PBE level.

## Properties
As for the magnetic moment: 0.0 μB/f.u. The formation energy from raw total energies is -2.54 eV per formula unit.

Unit cell a=3.8455 b=3.8455 c=7.9859 alpha=90.00 beta=90.00 gamma=90.00
Fractional positions:
Sr: 0.5000 0.5000 0.5000
Sb: 0.0000 0.0000 0.2197
Sb: 0.0000 0.0000 0.7803
Pa: 0.5000 0.5000 0.0000

***

Question: What is the formula in the ninth record?
Answer: PaSnSb2

***

Question: Number 5 is which compound?
Answer: PaSnSb2

***

Question: Number 9 is which compound?
Answer: PaSnSb2